The following is a DFT calculation (SCAN) of a crystal of MgAgPt2 relaxed with PBEsol.

As for the electronic total energy: -44.67 eV per atom.

The structure belongs to space group Pmmm (No. 47); the cell edges are 2.840, 3.882 and 5.648 Å and the angles 90.00°, 90.00° and 90.00°. The distinct sites, in fractional coordinates, are Mg at (0.000, 0.000, 0.000), Ag at (0.000, 0.000, 0.500) and Pt at (0.500, 0.500, 0.245).

The following is a DFT calculation (SCAN) of a crystal of Li3Ag relaxed with PBEsol.

The energy above the most stable polymorph in this dataset is 39 meV per atom. As for the electronic total energy: -9.76 eV per atom.

The structure belongs to space group P2/m (No. 10); the cell edges are 2.955, 3.826 and 5.883 Å and the angles 90.00°, 90.35° and 90.00°. The distinct sites, in fractional coordinates, are Li at (0.000, 0.000, 0.000), Li at (0.499, 0.500, 0.274) and Ag at (0.000, 0.000, 0.500).

The following is a DFT calculation (SCAN) of a crystal of Cd2CoTe relaxed with PBEsol.

As for the electronic total energy: -28.69 eV per atom. As for the uncorrected formation energy: 0.15 eV per atom.

The structure belongs to space group Cm (No. 8); the cell edges are 9.283, 3.056 and 6.465 Å and the angles 90.00°, 111.64° and 90.00°. The distinct sites, in fractional coordinates, are Cd at (0.000, 0.000, 0.000), Cd at (0.198, 0.000, 0.720), Co at (0.248, 0.500, 0.079) and Te at (0.352, 0.000, 0.395).

The following is a DFT calculation (SCAN) of a crystal of Ba3YIr2O9 relaxed with PBEsol.

The energy above the most stable polymorph in this dataset is 0 meV per atom. As for the electronic total energy: -25.36 eV per atom. As for the uncorrected formation energy: -2.37 eV per atom.

The structure belongs to space group P6_3/mmc (No. 194); the cell edges are 5.8604, 5.8604 and 14.5244 Å and the angles 90.00°, 90.00° and 120.00°. The distinct sites, in fractional coordinates, are Ba at (0.0000, 0.0000, 0.2500), Ba at (0.3333, 0.6667, 0.0922), Y at (0.0000, 0.0000, 0.0000), Ir at (0.3333, 0.6667, 0.6642), O at (0.0157, 0.5079, 0.7500) and O at (0.1761, 0.3521, 0.5866).

The following is a DFT calculation (SCAN) of a crystal of AgPS2N relaxed with PBEsol.

As for the electronic total energy: -12.14 eV per atom. As for the uncorrected formation energy: 1.92 eV per atom.

The structure belongs to space group P4/mmm (No. 123); the cell edges are 4.733, 4.733 and 4.892 Å and the angles 90.00°, 90.00° and 90.00°. The distinct sites, in fractional coordinates, are Ag at (0.000, 0.000, 0.000), P at (0.000, 0.000, 0.500), S at (0.000, 0.500, 0.000) and N at (0.500, 0.500, 0.500).

The following is a DFT calculation (SCAN) of a crystal of Sr2BePb relaxed with PBEsol.

The energy above the most stable polymorph in this dataset is 0 meV per atom. As for the electronic total energy: -31.29 eV per atom.

The structure belongs to space group P4/mmm (No. 123); the cell edges are 3.844, 3.844 and 7.954 Å and the angles 90.00°, 90.00° and 90.00°. The distinct sites, in fractional coordinates, are Sr at (0.000, 0.000, 0.227), Be at (0.500, 0.500, 0.000) and Pb at (0.500, 0.500, 0.500).

The following is a DFT calculation (SCAN) of a crystal of V3FeH relaxed with PBEsol.

As for the electronic total energy: -14.78 eV per atom.

The structure belongs to space group Pm-3m (No. 221); the cell edges are 3.721, 3.721 and 3.721 Å and the angles 90.00°, 90.00° and 90.00°. The distinct sites, in fractional coordinates, are V at (0.000, 0.000, 0.500), Fe at (0.500, 0.500, 0.500) and H at (0.000, 0.000, 0.000).

The following is a DFT calculation (SCAN) of a crystal of InRe2Br relaxed with PBEsol.

The energy above the most stable polymorph in this dataset is 150 meV per atom. As for the electronic total energy: -47.34 eV per atom. As for the uncorrected formation energy: 1.42 eV per atom.

The structure belongs to space group F-43m (No. 216); the cell edges are 6.507, 6.507 and 6.507 Å and the angles 90.00°, 90.00° and 90.00°. The distinct sites, in fractional coordinates, are In at (0.000, 0.000, 0.000), Re at (0.000, 0.000, 0.500), Re at (0.250, 0.250, 0.750) and Br at (0.250, 0.250, 0.250).